[1]
This record from the Alexandria database describes an optimized crystal structure of InAs2I8. The functional is PBE.

Unit cell a=8.733 b=8.718 c=8.718 alpha=82.02 beta=85.52 gamma=85.52
Positions (direct):
1 I 0.176 0.021 0.658
2 I 0.476 0.645 0.645
3 I 0.824 0.342 0.979
4 I 0.176 0.658 0.021
5 I 0.708 0.905 0.905
6 I 0.824 0.979 0.342
7 I 0.524 0.355 0.355
8 I 0.292 0.095 0.095
9 As 0.376 0.838 0.838
10 As 0.624 0.162 0.162
11 In 0.000 0.000 0.000

## Properties
The value obtained for the energy relative to the elements, uncorrected is -0.18 eV/atom. The calculation puts the total magnetization at 0.000 μB per atom. Its space-group type is C2/m, No. 12. The value obtained for the energy is -2.405 eV/atom. The density of states at the Fermi level is 3.380 states/eV per cell.

---

[2]
This record from the Alexandria database describes an optimized crystal structure of Np3Ge3Pt2. The functional is PBE.

Unit cell a=4.712 b=5.392 c=13.597 alpha=90.00 beta=90.00 gamma=115.91
Last column: magnetic moment on the atom in μB.
Positions (direct):
1 Pt 0.797 0.595 0.896  -0.02
2 Pt 0.203 0.405 0.396  -0.02
3 Pt 0.797 0.595 0.604  -0.02
4 Pt 0.203 0.405 0.104  -0.02
5 Np 0.092 0.184 0.878  2.98
6 Np 0.092 0.184 0.622  2.98
7 Np 0.908 0.816 0.378  2.98
8 Np 0.719 0.439 0.250  -2.18
9 Np 0.908 0.816 0.122  2.98
10 Np 0.281 0.561 0.750  -2.18
11 Ge 0.617 0.233 0.459  -0.01
12 Ge 0.383 0.767 0.959  -0.01
13 Ge 0.383 0.767 0.541  -0.01
14 Ge 0.617 0.233 0.041  -0.01
15 Ge 0.596 0.192 0.750  -0.01
16 Ge 0.404 0.808 0.250  -0.01

## Properties
The calculation puts the total magnetization at 0.489 μB per atom. Its space-group type is Cmcm, No. 63. The value obtained for the energy is -8.493 eV/atom. The value obtained for the energy above the lowest structure with this stoichiometry is 13 meV per atom. The density of states at the Fermi level is 31.025 states/eV per cell.

---

- What is the total magnetization in the first record?
  0.000 μB per atom

---

Repeat the first record exactly.
This record from the Alexandria database describes an optimized crystal structure of InAs2I8. The functional is PBE.

Unit cell a=8.733 b=8.718 c=8.718 alpha=82.02 beta=85.52 gamma=85.52
Positions (direct):
1 I 0.176 0.021 0.658
2 I 0.476 0.645 0.645
3 I 0.824 0.342 0.979
4 I 0.176 0.658 0.021
5 I 0.708 0.905 0.905
6 I 0.824 0.979 0.342
7 I 0.524 0.355 0.355
8 I 0.292 0.095 0.095
9 As 0.376 0.838 0.838
10 As 0.624 0.162 0.162
11 In 0.000 0.000 0.000

## Properties
The value obtained for the energy relative to the elements, uncorrected is -0.18 eV/atom. The calculation puts the total magnetization at 0.000 μB per atom. Its space-group type is C2/m, No. 12. The value obtained for the energy is -2.405 eV/atom. The density of states at the Fermi level is 3.380 states/eV per cell.

---

- Which of these has the lowest total magnetization?
  InAs2I8